Record 1
A plane-wave DFT calculation with PBE was carried out for a relaxed Nd3Ho2ScTe6 crystal.

The structure in POSCAR format:
```
Nd3Ho2ScTe6
1.0
-1.342 2.841 -2.997
-8.452 -1.989 1.900
2.879 5.855 7.407
Nd Te Ho Sc
3 6 2 1
direct
0.830 0.163 0.659 Nd
0.500 0.500 0.000 Nd
0.170 0.837 0.341 Nd
0.659 0.089 0.317 Te
0.330 0.423 0.661 Te
0.999 0.767 0.998 Te
0.670 0.577 0.339 Te
0.341 0.911 0.683 Te
0.001 0.233 0.002 Te
0.834 0.667 0.667 Ho
0.166 0.333 0.333 Ho
0.500 0.000 0.000 Sc
```

size of the total moment = 0.00 μB per atom
formation energy from raw total energies = -1.31 eV per atom
theoretical density = 7.3 g/cm³


Record 2
A plane-wave DFT calculation with PBE was carried out for a relaxed Ac2NpGaO8 crystal.

The structure in POSCAR format:
```
Ac2NpGaO8
1.0
-4.505 -3.361 -4.165
6.885 -0.607 -1.082
0.137 -4.160 3.208
O Ac Np Ga
8 2 1 1
direct
0.256 0.128 0.757 O
0.744 0.872 0.243 O
0.128 0.872 0.243 O
0.667 0.333 0.310 O
0.128 0.256 0.243 O
0.333 0.667 0.690 O
0.872 0.128 0.757 O
0.872 0.744 0.757 O
0.333 0.667 0.256 Ac
0.667 0.333 0.744 Ac
0.000 0.000 0.500 Np
0.000 0.000 0.000 Ga
```

size of the total moment = 0.11 μB per atom
formation energy from raw total energies = -2.36 eV per atom
theoretical density = 6.6 g/cm³


Record 3
A plane-wave DFT calculation with PBE was carried out for a relaxed Nd2TmI crystal.

The structure in POSCAR format:
```
Nd2TmI
1.0
-1.095 1.471 -3.354
1.832 -0.983 -3.207
-6.509 -7.976 -3.552
Nd I Tm
2 1 1
direct
0.080 0.080 0.760 Nd
0.253 0.253 0.240 Nd
0.667 0.667 0.000 I
0.500 0.500 0.501 Tm
```

excess energy over the best structure of this formula in the dataset = 0 meV per atom
size of the total moment = 0.00 μB per atom
formation energy from raw total energies = -0.39 eV per atom
theoretical density = 7.2 g/cm³